No. 1
A plane-wave DFT calculation with PBE-GGA was carried out for a relaxed CsThSc crystal.

Energy: -39.6 eV per cell
Excess energy over the best structure of this formula in the dataset: 95.1 meV/atom
Calculated volume: 36.332 Å³/atom

Cell and atoms, written as CIF:
```
data_CsThSc
_chemical_formula_sum 'Cs4 Th4 Sc4'
_space_group_name_H-M_alt 'F -4 3 m'
_space_group_IT_number 216
_space_group_name_Hall 'F -4 2 3'
_cell_length_a 7.5827
_cell_length_b 7.5827
_cell_length_c 7.5827
_cell_angle_alpha 90.00
_cell_angle_beta 90.00
_cell_angle_gamma 90.00
loop_
_atom_site_label
_atom_site_type_symbol
_atom_site_fract_x
_atom_site_fract_y
_atom_site_fract_z
_atom_site_occupancy
Cs1 Cs 0.0000 0.0000 0.0000 1
Th1 Th 0.2500 0.2500 0.2500 1
Sc1 Sc 0.2500 0.2500 0.7500 1
```

No. 2
A plane-wave DFT calculation with PBE-GGA was carried out for a relaxed YZnPd crystal.

Energy: -60.7 eV per cell
Calculated volume: 19.788 Å³/atom
Formation energy from the elements: -753.8 meV per atom

Cell and atoms, written as CIF:
```
data_YZnPd
_chemical_formula_sum 'Y4 Zn4 Pd4'
_space_group_name_H-M_alt 'P n m a'
_space_group_IT_number 62
_space_group_name_Hall '-P 2ac 2n'
_cell_length_a 7.0346
_cell_length_b 4.1110
_cell_length_c 8.2112
_cell_angle_alpha 90.00
_cell_angle_beta 90.00
_cell_angle_gamma 90.00
loop_
_atom_site_label
_atom_site_type_symbol
_atom_site_fract_x
_atom_site_fract_y
_atom_site_fract_z
_atom_site_occupancy
Y1 Y 0.0470 0.2500 0.1886 1
Zn1 Zn 0.1348 0.2500 0.5644 1
Pd1 Pd 0.2493 0.7500 0.3805 1
```

No. 3
A plane-wave DFT calculation with PBE-GGA was carried out for a relaxed Dy3AsS2 crystal.

Energy: -37.8 eV per cell
Calculated volume: 22.216 Å³/atom

Cell and atoms, written as CIF:
```
data_Dy3AsS2
_chemical_formula_sum 'Dy3 As1 S2'
_space_group_name_H-M_alt 'P -3 m 1'
_space_group_IT_number 164
_space_group_name_Hall '-P 3 2"'
_cell_length_a 3.9812
_cell_length_b 3.9812
_cell_length_c 9.7108
_cell_angle_alpha 90.00
_cell_angle_beta 90.00
_cell_angle_gamma 120.00
loop_
_atom_site_label
_atom_site_type_symbol
_atom_site_fract_x
_atom_site_fract_y
_atom_site_fract_z
_atom_site_occupancy
Dy1 Dy 0.0000 0.0000 0.0000 1
Dy2 Dy 0.3333 0.6667 0.3274 1
As1 As 0.0000 0.0000 0.5000 1
S1 S 0.3333 0.6667 0.8382 1
```

No. 4
A plane-wave DFT calculation with PBE-GGA was carried out for a relaxed Sr2Tl4NiIr crystal.

Energy: -57.1 eV per cell
Calculated volume: 25.386 Å³/atom

Cell and atoms, written as CIF:
```
data_Sr2Tl4NiIr
_chemical_formula_sum 'Sr4 Tl8 Ni2 Ir2'
_space_group_name_H-M_alt 'A m m 2'
_space_group_IT_number 38
_space_group_name_Hall 'A 2 -2'
_cell_length_a 8.2911
_cell_length_b 4.3545
_cell_length_c 11.2503
_cell_angle_alpha 90.00
_cell_angle_beta 90.00
_cell_angle_gamma 90.00
loop_
_atom_site_label
_atom_site_type_symbol
_atom_site_fract_x
_atom_site_fract_y
_atom_site_fract_z
_atom_site_occupancy
Sr1 Sr 0.0000 0.0000 0.0000 1
Sr2 Sr 0.5000 0.0000 0.1245 1
Tl1 Tl 0.1943 0.0000 0.7092 1
Tl2 Tl 0.2961 0.0000 0.4101 1
Ni1 Ni 0.0000 0.0000 0.2808 1
Ir1 Ir 0.5000 0.0000 0.8399 1
```